No. 1
Below is La4SiPt after structural relaxation, with properties calculated at the PBE level.

Computed properties:
**VASP energy**: -4.878 eV/atom
**Density of states at the Fermi level**: 1.288 states/eV per atom
**Crystal system**: cubic

Lattice parameters (Å, degrees): 6.2117 6.2117 6.2117 60.00 60.00 60.00
Atoms (fractional coordinates):
1 La 0.8773 0.3742 0.3742
2 La 0.3742 0.3742 0.8773
3 La 0.3742 0.8773 0.3742
4 La 0.3742 0.3742 0.3742
5 Si 0.0000 0.0000 0.0000
6 Pt 0.7500 0.7500 0.7500


No. 2
Below is Dy4PaSb5 after structural relaxation, with properties calculated at the PBE level.

Computed properties:
**VASP energy**: -5.848 eV/atom
**Density of states at the Fermi level**: 0.664 states/eV per atom
**Crystal system**: tetragonal

Lattice parameters (Å, degrees): 6.1979 7.5825 7.5825 80.38 65.88 65.88
Atoms (fractional coordinates):
1 Dy 0.4014 0.4009 0.7982
2 Dy 0.8023 0.7982 0.5991
3 Dy 0.1997 0.2018 0.4009
4 Dy 0.6005 0.5991 0.2018
5 Pa 0.0012 0.0000 0.0000
6 Sb 0.9019 0.3973 0.8010
7 Sb 0.2992 0.8010 0.6027
8 Sb 0.7028 0.1990 0.3973
9 Sb 0.1001 0.6027 0.1990
10 Sb 0.5012 0.0000 0.0000


No. 3
Below is CaZn3GaCu after structural relaxation, with properties calculated at the PBE level.

Computed properties:
**VASP energy**: -2.213 eV/atom
**Density of states at the Fermi level**: 0.266 states/eV per atom
**Crystal system**: orthorhombic
**Formation enthalpy at 0 K**: -0.0553 eV per atom

Lattice parameters (Å, degrees): 5.6065 6.3800 7.1255 116.60 90.00 90.00
Atoms (fractional coordinates):
1 Ca 0.7500 0.2938 0.5877
2 Ca 0.2500 0.7062 0.4123
3 Zn 0.2500 0.1492 0.2983
4 Zn 0.0000 0.3059 0.0000
5 Zn 0.5000 0.6941 0.0000
6 Zn 0.5000 0.3059 0.0000
7 Zn 0.0000 0.6941 0.0000
8 Zn 0.7500 0.8508 0.7017
9 Ga 0.2500 0.9300 0.8600
10 Ga 0.7500 0.0700 0.1400
11 Cu 0.2500 0.3518 0.7036
12 Cu 0.7500 0.6482 0.2964


No. 4
Below is Na3Cd4Ge4 after structural relaxation, with properties calculated at the PBE level.

Computed properties:
**VASP energy**: -2.350 eV/atom
**Density of states at the Fermi level**: 0.385 states/eV per atom
**Crystal system**: orthorhombic
**Formation enthalpy at 0 K**: 0.0211 eV per atom

Lattice parameters (Å, degrees): 4.8114 6.7610 9.1925 111.58 105.17 90.00
Atoms (fractional coordinates):
1 Na 0.1310 0.1310 0.2621
2 Na 0.8690 0.8690 0.7379
3 Na 0.0000 0.5000 0.0000
4 Cd 0.2173 0.7173 0.4347
5 Cd 0.7827 0.2827 0.5653
6 Cd 0.5000 0.7901 0.0000
7 Cd 0.5000 0.2099 0.0000
8 Ge 0.3396 0.1446 0.6792
9 Ge 0.6604 0.4654 0.3208
10 Ge 0.6604 0.8554 0.3208
11 Ge 0.3396 0.5346 0.6792


No. 5
Below is PuPa3Ir4 after structural relaxation, with properties calculated at the PBE level.

Computed properties:
**VASP energy**: -10.547 eV/atom
**Density of states at the Fermi level**: 1.546 states/eV per atom
**Crystal system**: tetragonal
**Formation enthalpy at 0 K**: -0.7641 eV per atom

Lattice parameters (Å, degrees): 5.6575 5.6575 6.9156 114.14 114.14 90.00
Atoms (fractional coordinates):
1 Pa 0.5000 0.5000 0.0000
2 Pa 0.7500 0.2500 0.5000
3 Pa 0.2500 0.7500 0.5000
4 Ir 0.0000 0.5000 0.0000
5 Ir 0.5000 0.0000 0.0000
6 Ir 0.2541 0.2541 0.5082
7 Ir 0.7459 0.7459 0.4918
8 Pu 0.0000 0.0000 0.0000


No. 6
Below is Li4ZnCl6 after structural relaxation, with properties calculated at the PBE level.

Computed properties:
**VASP energy**: -3.422 eV/atom
**Density of states at the Fermi level**: 0.000 states/eV per atom
**Crystal system**: monoclinic

Lattice parameters (Å, degrees): 7.2143 6.9569 12.5141 72.68 73.25 58.77
Atoms (fractional coordinates):
1 Li 0.2771 0.9918 0.6664
2 Li 0.0647 0.4918 0.1664
3 Li 0.7965 0.2212 0.4612
4 Li 0.5212 0.7212 0.9612
5 Li 0.8614 0.7215 0.6342
6 Li 0.7829 0.2215 0.1342
7 Li 0.7201 0.2293 0.8034
8 Li 0.2472 0.7293 0.3034
9 Zn 0.6927 0.7807 0.3898
10 Zn 0.1368 0.2807 0.8898
11 Cl 0.3910 0.5344 0.1416
12 Cl 0.9331 0.0344 0.6416
13 Cl 0.4859 0.5992 0.4423
14 Cl 0.4726 0.0992 0.9423
15 Cl 0.5565 0.0387 0.5056
16 Cl 0.8992 0.5387 0.0056
17 Cl 0.9851 0.0426 0.9364
18 Cl 0.0359 0.5426 0.4364
19 Cl 0.0107 0.1502 0.2736
20 Cl 0.5654 0.6502 0.7736
21 Cl 0.1816 0.3767 0.6997
22 Cl 0.7420 0.8767 0.1997


No. 7
Below is Sn2BiS2 after structural relaxation, with properties calculated at the PBE level.

Computed properties:
**VASP energy**: -4.066 eV/atom
**Density of states at the Fermi level**: 0.351 states/eV per atom
**Crystal system**: tetragonal

Lattice parameters (Å, degrees): 8.9197 8.9197 3.6535 90.00 90.00 90.00
Atoms (fractional coordinates):
1 S 0.1221 0.6221 0.5000
2 S 0.6221 0.8779 0.5000
3 S 0.8779 0.3779 0.5000
4 S 0.3779 0.1221 0.5000
5 Bi 0.0000 0.0000 0.0000
6 Bi 0.5000 0.5000 0.0000
7 Sn 0.2592 0.7592 0.0000
8 Sn 0.7592 0.7408 0.0000
9 Sn 0.7408 0.2408 0.0000
10 Sn 0.2408 0.2592 0.0000


No. 8
Below is Li2Pr2Pd3 after structural relaxation, with properties calculated at the PBE level.

Computed properties:
**VASP energy**: -4.602 eV/atom
**Density of states at the Fermi level**: 0.550 states/eV per atom
**Crystal system**: monoclinic
**Formation enthalpy at 0 K**: -0.4641 eV per atom

Lattice parameters (Å, degrees): 6.5596 7.7507 6.0543 105.29 90.00 90.00
Atoms (fractional coordinates):
1 Li 0.3467 0.1926 0.5681
2 Li 0.8467 0.3074 0.9319
3 Li 0.1533 0.6926 0.0681
4 Li 0.6533 0.8074 0.4319
5 Pr 0.7037 0.6874 0.9069
6 Pr 0.7963 0.1874 0.4069
7 Pr 0.2037 0.8126 0.5931
8 Pr 0.2963 0.3126 0.0931
9 Pd 0.5000 0.5000 0.5000
10 Pd 0.0000 0.0000 0.0000
11 Pd 0.1103 0.4563 0.6852
12 Pd 0.6103 0.0437 0.8148
13 Pd 0.3897 0.9563 0.1852
14 Pd 0.8897 0.5437 0.3148


No. 9
Below is CaTlBrCl2 after structural relaxation, with properties calculated at the PBE level.

Computed properties:
**VASP energy**: -3.667 eV/atom
**Density of states at the Fermi level**: 0.000 states/eV per atom
**Crystal system**: tetragonal

Lattice parameters (Å, degrees): 5.3587 5.3587 5.7644 90.00 90.00 90.00
Atoms (fractional coordinates):
1 Tl 0.5000 0.5000 0.5000
2 Ca 0.0000 0.0000 0.0000
3 Br 0.0000 0.0000 0.5000
4 Cl 0.0000 0.5000 0.0000
5 Cl 0.5000 0.0000 0.0000


No. 10
Below is Cr2NiIr6 after structural relaxation, with properties calculated at the PBE level.

Computed properties:
**VASP energy**: -8.770 eV/atom
**Density of states at the Fermi level**: 1.268 states/eV per atom
**Crystal system**: monoclinic
**Formation enthalpy at 0 K**: -0.0814 eV per atom

Lattice parameters (Å, degrees): 2.7020 5.9624 8.0263 102.10 90.00 103.10
Atoms (fractional coordinates):
1 Cr 0.6711 0.3422 0.2210
2 Cr 0.3289 0.6578 0.7790
3 Ni 0.0000 0.0000 0.0000
4 Ir 0.3340 0.6681 0.1067
5 Ir 0.6660 0.3319 0.8933
6 Ir 0.6699 0.3399 0.5586
7 Ir 0.0056 0.0111 0.3236
8 Ir 0.9944 0.9889 0.6764
9 Ir 0.3301 0.6601 0.4414


No. 11
Below is Al6Zn3Mo after structural relaxation, with properties calculated at the PBE level.

Computed properties:
**VASP energy**: -3.680 eV/atom
**Density of states at the Fermi level**: 0.444 states/eV per atom
**Crystal system**: monoclinic
**Formation enthalpy at 0 K**: 0.0304 eV per atom

Lattice parameters (Å, degrees): 7.1005 4.9470 4.9470 94.41 84.04 84.04
Atoms (fractional coordinates):
1 Al 0.3527 0.0550 0.6913
2 Al 0.6473 0.3087 0.9450
3 Al 0.6473 0.9450 0.3087
4 Al 0.3527 0.6913 0.0550
5 Al 0.1319 0.6207 0.6207
6 Al 0.8681 0.3793 0.3793
7 Zn 0.2489 0.2281 0.2281
8 Zn 0.7511 0.7719 0.7719
9 Zn 0.0000 0.0000 0.0000
10 Mo 0.5000 0.5000 0.5000


No. 12
Below is AlCu2W after structural relaxation, with properties calculated at the PBE level.

Computed properties:
**VASP energy**: -6.055 eV/atom
**Density of states at the Fermi level**: 0.739 states/eV per atom
**Crystal system**: trigonal
**Formation enthalpy at 0 K**: 0.1666 eV per atom

Lattice parameters (Å, degrees): 8.8595 8.8595 8.8595 17.65 17.65 17.65
Atoms (fractional coordinates):
1 Cu 0.0036 0.0036 0.0036
2 Cu 0.4964 0.4964 0.4964
3 W 0.2500 0.2500 0.2500
4 Al 0.7500 0.7500 0.7500


No. 13
Below is La2ReW after structural relaxation, with properties calculated at the PBE level.

Computed properties:
**VASP energy**: -7.962 eV/atom
**E above lowest polymorph**: 653 meV/atom
**Density of states at the Fermi level**: 1.218 states/eV per atom
**Crystal system**: tetragonal
**Formation enthalpy at 0 K**: 0.8519 eV per atom

Lattice parameters (Å, degrees): 5.3721 4.0291 4.0291 90.00 90.00 90.00
Atoms (fractional coordinates):
1 La 0.0000 0.0000 0.0000
2 La 0.0000 0.5000 0.5000
3 Re 0.5000 0.5000 0.0000
4 W 0.5000 0.0000 0.5000


No. 14
Below is TeRh2Se after structural relaxation, with properties calculated at the PBE level.

Computed properties:
**VASP energy**: -5.520 eV/atom
**E above lowest polymorph**: 93 meV/atom
**Density of states at the Fermi level**: 0.777 states/eV per atom
**Crystal system**: monoclinic

Lattice parameters (Å, degrees): 4.8803 3.9677 4.4354 73.55 90.00 90.00
Atoms (fractional coordinates):
1 Rh 0.0000 0.0097 0.0202
2 Rh 0.5000 0.2382 0.2540
3 Se 0.0000 0.3852 0.3696
4 Te 0.5000 0.8669 0.8563


No. 15
Below is Cs3LaBi2S6 after structural relaxation, with properties calculated at the PBE level.

Computed properties:
**VASP energy**: -4.476 eV/atom
**Density of states at the Fermi level**: 0.000 states/eV per atom
**Crystal system**: monoclinic

Lattice parameters (Å, degrees): 7.3940 7.3940 8.4426 98.39 98.39 120.00
Atoms (fractional coordinates):
1 Cs 0.1675 0.8325 0.5000
2 Cs 0.8325 0.1675 0.5000
3 Cs 0.5000 0.5000 0.5000
4 La 0.0000 0.0000 0.0000
5 Bi 0.3335 0.6665 0.0000
6 Bi 0.6665 0.3335 0.0000
7 S 0.9371 0.6000 0.8112
8 S 0.7257 0.7257 0.1888
9 S 0.0629 0.4000 0.1888
10 S 0.6000 0.9371 0.8112
11 S 0.2743 0.2743 0.8112
12 S 0.4000 0.0629 0.1888


No. 16
Below is Th4GaSe2S after structural relaxation, with properties calculated at the PBE level.

Computed properties:
**VASP energy**: -6.816 eV/atom
**Density of states at the Fermi level**: 0.695 states/eV per atom
**Crystal system**: monoclinic

Lattice parameters (Å, degrees): 4.2442 7.3681 7.1768 70.01 90.00 90.00
Atoms (fractional coordinates):
1 Th 0.0000 0.7340 0.7610
2 Th 0.0000 0.2660 0.2389
3 Th 0.5000 0.7384 0.2469
4 Th 0.5000 0.2616 0.7531
5 Ga 0.0000 0.5000 0.5000
6 Se 0.0000 0.0000 0.0000
7 Se 0.5000 0.0000 0.5000
8 S 0.5000 0.5000 0.0000


No. 17
Below is Ac3Cu after structural relaxation, with properties calculated at the PBE level.

Computed properties:
**VASP energy**: -3.850 eV/atom
**E above lowest polymorph**: 306 meV/atom
**Density of states at the Fermi level**: 1.193 states/eV per atom
**Crystal system**: tetragonal
**Formation enthalpy at 0 K**: 0.2558 eV per atom

Lattice parameters (Å, degrees): 5.1216 5.1216 6.5413 113.05 113.05 90.00
Atoms (fractional coordinates):
1 Ac 0.7500 0.2500 0.5000
2 Ac 0.2500 0.7500 0.5000
3 Ac 0.5000 0.5000 0.0000
4 Cu 0.0000 0.0000 0.0000


No. 18
Below is La3HoEr6Tm2 after structural relaxation, with properties calculated at the PBE level.

Computed properties:
**VASP energy**: -4.612 eV/atom
**Density of states at the Fermi level**: 1.424 states/eV per atom
**Crystal system**: monoclinic
**Formation enthalpy at 0 K**: 0.0280 eV per atom

Lattice parameters (Å, degrees): 6.1822 6.1822 11.7777 95.02 95.02 120.00
Atoms (fractional coordinates):
1 La 0.1666 0.8334 0.5000
2 La 0.8334 0.1666 0.5000
3 La 0.5000 0.5000 0.5000
4 Ho 0.0000 0.0000 0.0000
5 Er 0.9192 0.5857 0.7569
6 Er 0.7472 0.7472 0.2432
7 Er 0.0808 0.4143 0.2431
8 Er 0.5857 0.9192 0.7569
9 Er 0.2528 0.2528 0.7568
10 Er 0.4143 0.0808 0.2431
11 Tm 0.3333 0.6667 0.0000
12 Tm 0.6667 0.3333 0.0000


No. 19
Below is GdBi2Pd after structural relaxation, with properties calculated at the PBE level.

Computed properties:
**VASP energy**: -7.272 eV/atom
**Density of states at the Fermi level**: 0.382 states/eV per atom
**Crystal system**: tetragonal
**Formation enthalpy at 0 K**: -0.5133 eV per atom

Lattice parameters (Å, degrees): 4.2577 4.8687 4.8687 90.00 90.00 90.00
Atoms (fractional coordinates):
1 Gd 0.5000 0.0000 0.0000
2 Bi 0.0000 0.0000 0.5000
3 Bi 0.0000 0.5000 0.0000
4 Pd 0.5000 0.5000 0.5000


No. 20
Below is TaMoPS2 after structural relaxation, with properties calculated at the PBE level.

Computed properties:
**VASP energy**: -6.745 eV/atom
**E above lowest polymorph**: 0 meV/atom
**Density of states at the Fermi level**: 0.513 states/eV per atom
**Crystal system**: tetragonal

Lattice parameters (Å, degrees): 4.7117 4.7117 4.9380 90.00 90.00 90.00
Atoms (fractional coordinates):
1 P 0.0000 0.0000 0.5000
2 Mo 0.5000 0.5000 0.5000
3 S 0.0000 0.5000 0.0000
4 S 0.5000 0.0000 0.0000
5 Ta 0.0000 0.0000 0.0000


No. 21
Below is Y4AlPd3 after structural relaxation, with properties calculated at the PBE level.

Computed properties:
**VASP energy**: -6.421 eV/atom
**Density of states at the Fermi level**: 0.671 states/eV per atom
**Crystal system**: orthorhombic
**Formation enthalpy at 0 K**: -0.7740 eV per atom

Lattice parameters (Å, degrees): 3.8067 4.4897 10.8888 90.00 90.00 90.00
Atoms (fractional coordinates):
1 Y 0.5000 0.5000 0.3660
2 Y 0.0000 0.5000 0.8506
3 Y 0.0000 0.0000 0.1456
4 Y 0.5000 0.0000 0.6366
5 Al 0.5000 0.5000 0.0722
6 Pd 0.0000 0.5000 0.5845
7 Pd 0.0000 0.0000 0.4187
8 Pd 0.5000 0.0000 0.9258


No. 22
Below is BaHgRh3 after structural relaxation, with properties calculated at the PBE level.

Computed properties:
**VASP energy**: -4.057 eV/atom
**E above lowest polymorph**: 0 meV/atom
**Density of states at the Fermi level**: 1.579 states/eV per atom
**Crystal system**: cubic
**Formation enthalpy at 0 K**: 0.7984 eV per atom

Lattice parameters (Å, degrees): 5.0712 5.0712 5.0712 90.00 90.00 90.00
Atoms (fractional coordinates):
1 Rh 0.0000 0.5000 0.0000
2 Rh 0.0000 0.0000 0.5000
3 Rh 0.5000 0.0000 0.0000
4 Hg 0.0000 0.0000 0.0000
5 Ba 0.5000 0.5000 0.5000


No. 23
Below is KTmHgBr6 after structural relaxation, with properties calculated at the PBE level.

Computed properties:
**VASP energy**: -3.127 eV/atom
**Density of states at the Fermi level**: 0.000 states/eV per atom
**Crystal system**: trigonal

Lattice parameters (Å, degrees): 7.2947 7.2947 14.5987 90.00 90.00 120.00
Atoms (fractional coordinates):
1 K 0.0000 0.0000 0.0000
2 K 0.0000 0.0000 0.5000
3 Tm 0.6667 0.3333 0.2500
4 Tm 0.3333 0.6667 0.7500
5 Hg 0.3333 0.6667 0.2500
6 Hg 0.6667 0.3333 0.7500
7 Br 0.6334 0.6244 0.1383
8 Br 0.9910 0.3666 0.1383
9 Br 0.3666 0.9910 0.6383
10 Br 0.0090 0.6334 0.8617
11 Br 0.3756 0.3666 0.3617
12 Br 0.9910 0.6244 0.3617
13 Br 0.6244 0.9910 0.8617
14 Br 0.6334 0.0090 0.3617
15 Br 0.0090 0.3756 0.6383
16 Br 0.3756 0.0090 0.1383
17 Br 0.6244 0.6334 0.6383
18 Br 0.3666 0.3756 0.8617


No. 24
Below is LaHg2Pt after structural relaxation, with properties calculated at the PBE level.

Computed properties:
**VASP energy**: -3.421 eV/atom
**Density of states at the Fermi level**: 0.682 states/eV per atom
**Crystal system**: orthorhombic
**Formation enthalpy at 0 K**: -0.5278 eV per atom

Lattice parameters (Å, degrees): 5.1166 5.1166 5.1166 120.59 119.06 90.31
Atoms (fractional coordinates):
1 Hg 0.0032 0.0032 0.0000
2 Hg 0.7549 0.2549 0.5000
3 La 0.4990 0.4990 0.0000
4 Pt 0.2429 0.7429 0.5000